No. 1
# Li2TaPb (PBE-GGA, relaxed)
# * E_form: 0.3141 eV per atom
data_Li2TaPb
_cell_length_a 4.107
_cell_length_b 4.107
_cell_length_c 4.331
_cell_angle_alpha 90.00
_cell_angle_beta 90.00
_cell_angle_gamma 90.00
_symmetry_space_group_name_H-M 'P 4/m m m'
_symmetry_Int_Tables_number 123
_symmetry_space_group_name_Hall '-P 4 2'
loop_
_atom_site_label
_atom_site_type_symbol
_atom_site_fract_x
_atom_site_fract_y
_atom_site_fract_z
Li1 Li 0.000 0.500 0.000
Ta1 Ta 0.000 0.000 0.500
Pb1 Pb 0.500 0.500 0.500

---

No. 2
# Rb2ZrSbBr6 (PBE-GGA, relaxed)
# * raw formation energy: -1.08 eV/atom
data_Rb2ZrSbBr6
_cell_length_a 7.951
_cell_length_b 7.951
_cell_length_c 13.105
_cell_angle_alpha 90.00
_cell_angle_beta 90.00
_cell_angle_gamma 90.00
_symmetry_space_group_name_H-M 'I 4/m m m'
_symmetry_Int_Tables_number 139
_symmetry_space_group_name_Hall '-I 4 2'
loop_
_atom_site_label
_atom_site_type_symbol
_atom_site_fract_x
_atom_site_fract_y
_atom_site_fract_z
Rb1 Rb 0.000 0.500 0.250
Zr1 Zr 0.000 0.000 0.000
Sb1 Sb 0.000 0.000 0.500
Br1 Br 0.000 0.000 0.206
Br2 Br 0.238 0.238 0.000

---

Number 1: total energy -4.533 eV per atom. Number 2: total energy -3.543 eV per atom.